Zn2InSb2 | PBE | optimized geometry

abc: 4.752 4.752 6.569
angles: 68.79 68.79 90.00
Element x y z (fractional)
Sb: 0.250 0.750 0.500
Sb: 0.750 0.250 0.500
In: 0.000 0.000 0.000
Zn: 0.608 0.608 0.785
Zn: 0.392 0.392 0.215

Results
Total DFT energy (no corrections): -2.590 eV per atom
Energy relative to the elements, uncorrected: 0.12 eV/atom
Magnetic moment: 0.00 Bohr magnetons per cell

ZnIn2Sb | PBE | optimized geometry

abc: 6.226 6.226 6.226
angles: 148.39 127.83 62.29
Element x y z (fractional)
Sb: 0.750 0.250 0.500
In: 0.477 0.477 0.000
In: 0.023 0.023 0.000
Zn: 0.250 0.750 0.500

Results
Relative energy among the computed polymorphs: 1.59 kcal/mol of atoms
Total DFT energy (no corrections): -2.582 eV per atom
Energy relative to the elements, uncorrected: 0.14 eV/atom
Magnetic moment: 0.00 Bohr magnetons per cell

ZnIn2Sb | PBE | optimized geometry

abc: 6.963 6.963 7.352
angles: 61.74 61.74 90.00
Element x y z (fractional)
Sb: 0.750 0.250 0.500
Sb: 0.000 0.000 0.000
In: 0.375 0.391 0.750
In: 0.141 0.625 0.250
In: 0.875 0.859 0.750
In: 0.609 0.125 0.250
Zn: 0.500 0.500 0.000
Zn: 0.250 0.750 0.500

Results
Relative energy among the computed polymorphs: 2.96 kcal/mol of atoms
Total DFT energy (no corrections): -2.522 eV per atom
Energy relative to the elements, uncorrected: 0.20 eV/atom
Magnetic moment: 0.00 Bohr magnetons per cell

ZnInSb2 | PBE | optimized geometry

abc: 4.136 4.921 4.921
angles: 90.00 90.00 90.00
Element x y z (fractional)
In: 0.500 0.000 0.500
Sb: 0.000 0.000 0.000
Sb: 0.000 0.500 0.500
Zn: 0.500 0.500 0.000

Results
Total DFT energy (no corrections): -2.876 eV per atom
Energy relative to the elements, uncorrected: 0.19 eV/atom
Magnetic moment: 0.00 Bohr magnetons per cell

Zn4InSb | PBE | optimized geometry

abc: 5.497 5.497 5.497
angles: 60.00 60.00 60.00
Element x y z (fractional)
Zn: 0.375 0.375 0.375
Zn: 0.375 0.375 0.875
Zn: 0.875 0.375 0.375
Zn: 0.375 0.875 0.375
Sb: 0.000 0.000 0.000
In: 0.750 0.750 0.750

Results
Total DFT energy (no corrections): -1.859 eV per atom
Energy relative to the elements, uncorrected: 0.13 eV/atom
Magnetic moment: 0.00 Bohr magnetons per cell

Zn3InSb | PBE | optimized geometry

abc: 5.274 5.274 5.274
angles: 90.00 90.00 90.00
Element x y z (fractional)
Zn: 0.000 0.500 0.000
Zn: 0.000 0.000 0.500
Zn: 0.500 0.000 0.000
In: 0.500 0.500 0.500
Sb: 0.000 0.000 0.000

Results
Relative energy among the computed polymorphs: 0.00 kcal/mol of atoms
Total DFT energy (no corrections): -1.666 eV per atom
Energy relative to the elements, uncorrected: 0.47 eV/atom
Magnetic moment: 0.00 Bohr magnetons per cell

ZnInSb2 | PBE | optimized geometry

abc: 3.529 3.529 8.067
angles: 90.00 90.00 90.00
Element x y z (fractional)
In: 0.500 0.500 0.750
Sb: 0.000 0.000 0.042
Sb: 0.000 0.000 0.458
Zn: 0.500 0.500 0.250

Results
Total DFT energy (no corrections): -2.921 eV per atom
Energy relative to the elements, uncorrected: 0.14 eV/atom
Magnetic moment: 0.00 Bohr magnetons per cell

ZnIn2Sb | PBE | optimized geometry

abc: 4.841 3.351 6.628
angles: 69.01 90.00 90.00
Element x y z (fractional)
Sb: 0.500 0.250 0.250
In: 0.000 0.595 0.515
In: 0.000 0.905 0.985
Zn: 0.500 0.750 0.750

Results
Relative energy among the computed polymorphs: 1.36 kcal/mol of atoms
Total DFT energy (no corrections): -2.591 eV per atom
Energy relative to the elements, uncorrected: 0.13 eV/atom
Magnetic moment: 0.00 Bohr magnetons per cell

ZrInSb | PBE | optimized geometry

abc: 7.199 3.946 10.455
angles: 90.00 108.39 90.00
Element x y z (fractional)
Sb: 0.599 0.000 0.662
Sb: 0.599 0.500 0.162
Sb: 0.401 0.500 0.838
Sb: 0.401 0.000 0.338
Zr: 0.721 0.000 0.982
Zr: 0.279 0.000 0.018
Zr: 0.721 0.500 0.482
Zr: 0.279 0.500 0.518
In: 0.937 0.000 0.341
In: 0.063 0.000 0.659
In: 0.937 0.500 0.841
In: 0.063 0.500 0.159

Results
Total DFT energy (no corrections): -5.483 eV per atom
Energy relative to the elements, uncorrected: -0.35 eV/atom
Magnetic moment: 0.00 Bohr magnetons per cell

ZrInSb | PBE | optimized geometry

abc: 3.888 3.888 9.987
angles: 90.00 90.00 90.00
Element x y z (fractional)
Sb: 0.000 0.500 0.706
Sb: 0.500 0.000 0.294
In: 0.000 0.500 0.086
In: 0.500 0.000 0.914
Zr: 0.500 0.000 0.596
Zr: 0.000 0.500 0.404

Results
Total DFT energy (no corrections): -5.559 eV per atom
Energy relative to the elements, uncorrected: -0.42 eV/atom
Magnetic moment: 0.00 Bohr magnetons per cell

Zr8In2Sb | PBE | optimized geometry

abc: 5.323 7.961 7.961
angles: 120.19 103.35 103.35
Element x y z (fractional)
Zr: 0.708 0.406 0.406
Zr: 0.843 0.682 0.904
Zr: 0.500 0.216 0.784
Zr: 0.157 0.096 0.318
Zr: 0.500 0.784 0.216
Zr: 0.292 0.594 0.594
Zr: 0.157 0.318 0.096
Zr: 0.843 0.904 0.682
Sb: 0.500 0.000 0.000
In: 0.000 0.306 0.694
In: 0.000 0.694 0.306

Results
Total DFT energy (no corrections): -7.188 eV per atom
Energy relative to the elements, uncorrected: -0.10 eV/atom
Magnetic moment: 0.00 Bohr magnetons per cell

Zr7In2Sb2 | PBE | optimized geometry

abc: 6.973 5.824 6.973
angles: 78.62 103.06 101.38
Element x y z (fractional)
Zr: 0.589 0.731 0.058
Zr: 0.507 0.262 0.493
Zr: 0.493 0.738 0.507
Zr: 0.411 0.269 0.942
Zr: 0.942 0.731 0.411
Zr: 0.000 0.000 0.000
Zr: 0.058 0.269 0.589
Sb: 0.751 0.154 0.249
Sb: 0.249 0.846 0.751
In: 0.182 0.500 0.182
In: 0.818 0.500 0.818

Results
Total DFT energy (no corrections): -6.766 eV per atom
Energy relative to the elements, uncorrected: -0.08 eV/atom
Magnetic moment: 1.92 Bohr magnetons per cell

ZrInSb | PBE | optimized geometry

abc: 7.813 7.813 3.208
angles: 78.16 78.15 23.69
Element x y z (fractional)
In: 0.976 0.976 0.024
Sb: 0.688 0.688 0.312
Zr: 0.336 0.336 0.664

Results
Total DFT energy (no corrections): -5.264 eV per atom
Energy relative to the elements, uncorrected: -0.13 eV/atom
Magnetic moment: 0.00 Bohr magnetons per cell

Zr2InSb2 | PBE | optimized geometry

abc: 7.920 7.920 3.856
angles: 90.00 90.00 90.00
Element x y z (fractional)
In: 0.500 0.500 0.000
In: 0.000 0.000 0.000
Zr: 0.147 0.353 0.000
Zr: 0.647 0.147 0.000
Zr: 0.853 0.647 0.000
Zr: 0.353 0.853 0.000
Sb: 0.350 0.150 0.500
Sb: 0.650 0.850 0.500
Sb: 0.150 0.650 0.500
Sb: 0.850 0.350 0.500

Results
Relative energy among the computed polymorphs: 0.00 kcal/mol of atoms
Total DFT energy (no corrections): -6.086 eV per atom
Energy relative to the elements, uncorrected: -0.47 eV/atom
Magnetic moment: 0.00 Bohr magnetons per cell

DOS at the Fermi energy? In order: 1.9, 2.0, 1.2, 1.8, 4.2, 2.5, 1.7, 1.4, 1.6, 1.2, 11.4, 11.0, 2.3, 2.7 states/eV/f.u..